Entry 1:
{"formula": "Pu3Mg2Pd3", "functional": "GGA-PBE", "state": "optimized geometry", "lattice": [[3.850, 0.000, 0.000], [0.000, 4.563, 0.000], [0.000, 0.000, 19.733]], "species": ["Pu", "Pu", "Pu", "Pu", "Pu", "Pu", "Mg", "Mg", "Mg", "Mg", "Pd", "Pd", "Pd", "Pd", "Pd", "Pd"], "fractional_positions": [[0.000, 0.000, 0.000], [0.000, 0.500, 0.115], [0.000, 0.500, 0.885], [0.500, 0.000, 0.385], [0.500, 0.000, 0.615], [0.500, 0.500, 0.500], [0.000, 0.000, 0.248], [0.000, 0.000, 0.752], [0.500, 0.500, 0.252], [0.500, 0.500, 0.748], [0.000, 0.000, 0.500], [0.000, 0.500, 0.348], [0.000, 0.500, 0.652], [0.500, 0.000, 0.152], [0.500, 0.000, 0.848], [0.500, 0.500, 0.000]], "final_energy_ev_per_atom": -8.020, "n_ef_per_ev_fu": 27.27, "magmom_total_mub_per_fu": 17.09, "formation_energy_ev_per_atom": -0.299}


Entry 2:
{"formula": "PuMgPd2", "functional": "GGA-PBE", "state": "optimized geometry", "lattice": [[3.272, 0.000, 0.000], [0.000, 3.272, 0.000], [0.000, 0.000, 7.030]], "species": ["Pu", "Mg", "Pd", "Pd"], "fractional_positions": [[0.000, 0.000, 0.000], [0.000, 0.000, 0.500], [0.500, 0.500, 0.285], [0.500, 0.500, 0.715]], "final_energy_ev_per_atom": -7.128, "n_ef_per_ev_fu": 8.99, "magmom_total_mub_per_fu": 5.59, "formation_energy_ev_per_atom": -0.550}


Entry 3:
{"formula": "PuMg2Pd", "functional": "GGA-PBE", "state": "optimized geometry", "lattice": [[3.100, 0.000, 0.000], [0.000, 3.100, 0.000], [0.000, 0.000, 8.545]], "species": ["Pu", "Mg", "Mg", "Pd"], "fractional_positions": [[0.000, 0.000, 0.000], [0.500, 0.500, 0.306], [0.500, 0.500, 0.694], [0.000, 0.000, 0.500]], "final_energy_ev_per_atom": -5.982, "n_ef_per_ev_fu": 6.73, "magmom_total_mub_per_fu": 6.04, "formation_energy_ev_per_atom": -0.303}


Entry 4:
{"formula": "Pu2MgPd2", "functional": "GGA-PBE", "state": "optimized geometry", "lattice": [[7.516, 0.000, 0.000], [0.000, 7.516, 0.000], [0.000, 0.000, 4.021]], "species": ["Pu", "Pu", "Pu", "Pu", "Mg", "Mg", "Pd", "Pd", "Pd", "Pd"], "fractional_positions": [[0.164, 0.336, 0.000], [0.336, 0.836, 0.000], [0.664, 0.164, 0.000], [0.836, 0.664, 0.000], [0.000, 0.000, 0.500], [0.500, 0.500, 0.500], [0.138, 0.638, 0.500], [0.362, 0.138, 0.500], [0.638, 0.862, 0.500], [0.862, 0.362, 0.500]], "final_energy_ev_per_atom": -8.513, "n_ef_per_ev_fu": 22.36, "magmom_total_mub_per_fu": 11.25, "formation_energy_ev_per_atom": -0.384}


Entry 5:
{"formula": "PuMgPdRu", "functional": "GGA-PBE", "state": "optimized geometry", "lattice": [[6.623, 0.000, 0.000], [0.000, 6.623, 0.000], [0.000, 0.000, 6.623]], "species": ["Pu", "Pu", "Pu", "Pu", "Mg", "Mg", "Mg", "Mg", "Pd", "Pd", "Pd", "Pd", "Ru", "Ru", "Ru", "Ru"], "fractional_positions": [[0.000, 0.000, 0.000], [0.000, 0.500, 0.500], [0.500, 0.000, 0.500], [0.500, 0.500, 0.000], [0.000, 0.000, 0.500], [0.000, 0.500, 0.000], [0.500, 0.000, 0.000], [0.500, 0.500, 0.500], [0.250, 0.250, 0.750], [0.250, 0.750, 0.250], [0.750, 0.250, 0.250], [0.750, 0.750, 0.750], [0.250, 0.250, 0.250], [0.250, 0.750, 0.750], [0.750, 0.250, 0.750], [0.750, 0.750, 0.250]], "final_energy_ev_per_atom": -7.876, "n_ef_per_ev_fu": 6.26, "magmom_total_mub_per_fu": 4.63, "formation_energy_ev_per_atom": -0.277}


Entry 6:
{"formula": "PuMgSiPd", "functional": "GGA-PBE", "state": "optimized geometry", "lattice": [[6.685, 0.000, 0.000], [0.000, 6.685, 0.000], [0.000, 0.000, 6.685]], "species": ["Pu", "Pu", "Pu", "Pu", "Mg", "Mg", "Mg", "Mg", "Si", "Si", "Si", "Si", "Pd", "Pd", "Pd", "Pd"], "fractional_positions": [[0.000, 0.000, 0.000], [0.000, 0.500, 0.500], [0.500, 0.000, 0.500], [0.500, 0.500, 0.000], [0.250, 0.250, 0.250], [0.250, 0.750, 0.750], [0.750, 0.250, 0.750], [0.750, 0.750, 0.250], [0.250, 0.250, 0.750], [0.250, 0.750, 0.250], [0.750, 0.250, 0.250], [0.750, 0.750, 0.750], [0.000, 0.000, 0.500], [0.000, 0.500, 0.000], [0.500, 0.000, 0.000], [0.500, 0.500, 0.500]], "final_energy_ev_per_atom": -6.851, "n_ef_per_ev_fu": 9.79, "magmom_total_mub_per_fu": 5.90}


Entry 7:
{"formula": "PuMgSn2Pd4", "functional": "GGA-PBE", "state": "optimized geometry", "lattice": [[2.312, 1.335, 8.208], [-2.312, 1.335, 8.208], [0.000, -2.669, 8.208]], "species": ["Pu", "Mg", "Sn", "Sn", "Pd", "Pd", "Pd", "Pd"], "fractional_positions": [[0.000, 0.000, 0.000], [0.500, 0.500, 0.500], [0.246, 0.246, 0.246], [0.754, 0.754, 0.754], [0.130, 0.130, 0.130], [0.391, 0.391, 0.391], [0.609, 0.609, 0.609], [0.870, 0.870, 0.870]], "final_energy_ev_per_atom": -6.179, "n_ef_per_ev_fu": 15.99, "magmom_total_mub_per_fu": 5.36, "formation_energy_ev_per_atom": -0.591}


Entry 8:
{"formula": "Pu2MgSn3Pd4", "functional": "GGA-PBE", "state": "optimized geometry", "lattice": [[4.311, 0.000, 0.000], [0.000, 4.311, 0.000], [0.000, 0.000, 11.770]], "species": ["Pu", "Pu", "Mg", "Sn", "Sn", "Sn", "Pd", "Pd", "Pd", "Pd"], "fractional_positions": [[0.000, 0.500, 0.249], [0.500, 0.000, 0.751], [0.500, 0.500, 0.000], [0.000, 0.000, 0.000], [0.000, 0.500, 0.634], [0.500, 0.000, 0.366], [0.000, 0.000, 0.500], [0.000, 0.500, 0.858], [0.500, 0.000, 0.142], [0.500, 0.500, 0.500]], "final_energy_ev_per_atom": -6.830, "n_ef_per_ev_fu": 29.64, "magmom_total_mub_per_fu": 11.41, "formation_energy_ev_per_atom": -0.526}


Entry 9:
{"formula": "PuMgSnPd", "functional": "GGA-PBE", "state": "optimized geometry", "lattice": [[7.019, 0.000, 0.000], [0.000, 7.019, 0.000], [0.000, 0.000, 7.019]], "species": ["Pu", "Pu", "Pu", "Pu", "Mg", "Mg", "Mg", "Mg", "Sn", "Sn", "Sn", "Sn", "Pd", "Pd", "Pd", "Pd"], "fractional_positions": [[0.000, 0.000, 0.000], [0.000, 0.500, 0.500], [0.500, 0.000, 0.500], [0.500, 0.500, 0.000], [0.250, 0.250, 0.750], [0.250, 0.750, 0.250], [0.750, 0.250, 0.250], [0.750, 0.750, 0.750], [0.250, 0.250, 0.250], [0.250, 0.750, 0.750], [0.750, 0.250, 0.750], [0.750, 0.750, 0.250], [0.000, 0.000, 0.500], [0.000, 0.500, 0.000], [0.500, 0.000, 0.000], [0.500, 0.500, 0.500]], "final_energy_ev_per_atom": -6.520, "n_ef_per_ev_fu": 13.27, "magmom_total_mub_per_fu": 5.87, "formation_energy_ev_per_atom": -0.240}


Entry 10:
{"formula": "Y2PuMg2Pd5", "functional": "GGA-PBE", "state": "optimized geometry", "lattice": [[10.211, 0.000, 0.000], [0.000, 10.211, 0.000], [0.000, 0.000, 3.831]], "species": ["Y", "Y", "Y", "Y", "Pu", "Pu", "Mg", "Mg", "Mg", "Mg", "Pd", "Pd", "Pd", "Pd", "Pd", "Pd", "Pd", "Pd", "Pd", "Pd"], "fractional_positions": [[0.177, 0.323, 0.000], [0.323, 0.823, 0.000], [0.677, 0.177, 0.000], [0.823, 0.677, 0.000], [0.000, 0.000, 0.000], [0.500, 0.500, 0.000], [0.119, 0.619, 0.000], [0.381, 0.119, 0.000], [0.619, 0.881, 0.000], [0.881, 0.381, 0.000], [0.000, 0.500, 0.500], [0.066, 0.791, 0.500], [0.209, 0.066, 0.500], [0.291, 0.566, 0.500], [0.434, 0.291, 0.500], [0.500, 0.000, 0.500], [0.566, 0.709, 0.500], [0.709, 0.434, 0.500], [0.791, 0.934, 0.500], [0.934, 0.209, 0.500]], "final_energy_ev_per_atom": -6.225, "n_ef_per_ev_fu": 14.84, "magmom_total_mub_per_fu": 5.29, "formation_energy_ev_per_atom": -0.583}


Entry 11:
{"formula": "PuMgZnPd", "functional": "GGA-PBE", "state": "optimized geometry", "lattice": [[6.865, 0.000, 0.000], [0.000, 6.865, 0.000], [0.000, 0.000, 6.865]], "species": ["Pu", "Pu", "Pu", "Pu", "Mg", "Mg", "Mg", "Mg", "Zn", "Zn", "Zn", "Zn", "Pd", "Pd", "Pd", "Pd"], "fractional_positions": [[0.000, 0.000, 0.000], [0.000, 0.500, 0.500], [0.500, 0.000, 0.500], [0.500, 0.500, 0.000], [0.000, 0.000, 0.500], [0.000, 0.500, 0.000], [0.500, 0.000, 0.000], [0.500, 0.500, 0.500], [0.250, 0.250, 0.250], [0.250, 0.750, 0.750], [0.750, 0.250, 0.750], [0.750, 0.750, 0.250], [0.250, 0.250, 0.750], [0.250, 0.750, 0.250], [0.750, 0.250, 0.250], [0.750, 0.750, 0.750]], "final_energy_ev_per_atom": -5.860, "n_ef_per_ev_fu": 10.20, "magmom_total_mub_per_fu": 5.66, "formation_energy_ev_per_atom": -0.262}


Entry 12:
{"formula": "RbMgPd3", "functional": "GGA-PBE", "state": "optimized geometry", "lattice": [[4.922, 0.000, 0.000], [0.000, 4.922, 0.000], [0.000, 0.000, 4.922]], "species": ["Rb", "Mg", "Pd", "Pd", "Pd"], "fractional_positions": [[0.000, 0.000, 0.000], [0.500, 0.500, 0.500], [0.000, 0.500, 0.500], [0.500, 0.000, 0.500], [0.500, 0.500, 0.000]], "final_energy_ev_per_atom": -3.409, "n_ef_per_ev_fu": 1.75, "magmom_total_mub_per_fu": 0.00, "formation_energy_ev_per_atom": 0.219}


Entry 13:
{"formula": "RbMg3Pd", "functional": "GGA-PBE", "state": "optimized geometry", "lattice": [[5.252, 0.000, 0.000], [0.000, 5.252, 0.000], [0.000, 0.000, 5.252]], "species": ["Rb", "Mg", "Mg", "Mg", "Pd"], "fractional_positions": [[0.000, 0.000, 0.000], [0.000, 0.500, 0.500], [0.500, 0.000, 0.500], [0.500, 0.500, 0.000], [0.500, 0.500, 0.500]], "final_energy_ev_per_atom": -2.363, "n_ef_per_ev_fu": 3.05, "magmom_total_mub_per_fu": 0.00, "formation_energy_ev_per_atom": -0.175}


Entry 14:
{"formula": "RbMg3Pd", "functional": "GGA-PBE", "state": "optimized geometry", "lattice": [[6.410, 0.000, 0.000], [0.000, 6.410, 0.000], [0.000, 0.000, 6.410]], "species": ["Rb", "Mg", "Mg", "Mg", "Pd"], "fractional_positions": [[0.000, 0.000, 0.000], [0.000, 0.000, 0.500], [0.000, 0.500, 0.000], [0.500, 0.000, 0.000], [0.500, 0.500, 0.500]], "final_energy_ev_per_atom": -0.781, "n_ef_per_ev_fu": 3.28, "magmom_total_mub_per_fu": 0.00, "formation_energy_ev_per_atom": 1.407}


Entry 15:
{"formula": "Rb3MgPd", "functional": "GGA-PBE", "state": "optimized geometry", "lattice": [[6.545, 0.000, 0.000], [0.000, 6.545, 0.000], [0.000, 0.000, 6.545]], "species": ["Rb", "Rb", "Rb", "Mg", "Pd"], "fractional_positions": [[0.000, 0.000, 0.500], [0.000, 0.500, 0.000], [0.500, 0.000, 0.000], [0.500, 0.500, 0.500], [0.000, 0.000, 0.000]], "final_energy_ev_per_atom": -1.680, "n_ef_per_ev_fu": 5.31, "magmom_total_mub_per_fu": 0.00, "formation_energy_ev_per_atom": 0.258}


Entry 16:
{"formula": "RbMgPd3", "functional": "GGA-PBE", "state": "optimized geometry", "lattice": [[5.172, 0.000, 0.000], [0.000, 5.172, 0.000], [0.000, 0.000, 5.172]], "species": ["Rb", "Mg", "Pd", "Pd", "Pd"], "fractional_positions": [[0.000, 0.000, 0.000], [0.500, 0.500, 0.500], [0.000, 0.000, 0.500], [0.000, 0.500, 0.000], [0.500, 0.000, 0.000]], "final_energy_ev_per_atom": -2.419, "n_ef_per_ev_fu": 2.95, "magmom_total_mub_per_fu": 0.00, "formation_energy_ev_per_atom": 1.209}


Entry 17:
{"formula": "RbMg2SnPd", "functional": "GGA-PBE", "state": "optimized geometry", "lattice": [[5.264, 0.000, 0.000], [0.000, 5.264, 0.000], [0.000, 0.000, 5.208]], "species": ["Rb", "Mg", "Mg", "Sn", "Pd"], "fractional_positions": [[0.000, 0.000, 0.000], [0.000, 0.500, 0.500], [0.500, 0.000, 0.500], [0.500, 0.500, 0.000], [0.500, 0.500, 0.500]], "final_energy_ev_per_atom": -2.871, "n_ef_per_ev_fu": 2.83, "magmom_total_mub_per_fu": 0.00, "formation_energy_ev_per_atom": -0.201}


Entry 18:
{"formula": "RbSr2MgPd", "functional": "GGA-PBE", "state": "optimized geometry", "lattice": [[6.083, 0.000, 0.000], [0.000, 6.083, 0.000], [0.000, 0.000, 5.494]], "species": ["Rb", "Sr", "Sr", "Mg", "Pd"], "fractional_positions": [[0.000, 0.000, 0.000], [0.000, 0.500, 0.500], [0.500, 0.000, 0.500], [0.500, 0.500, 0.000], [0.500, 0.500, 0.500]], "final_energy_ev_per_atom": -2.412, "n_ef_per_ev_fu": 2.22, "magmom_total_mub_per_fu": 0.00, "formation_energy_ev_per_atom": -0.188}


Entry 19:
{"formula": "MgRePd2", "functional": "GGA-PBE", "state": "optimized geometry", "lattice": [[3.919, 0.000, 0.000], [0.000, 3.919, 0.000], [0.000, 0.000, 17.700]], "species": ["Mg", "Mg", "Mg", "Mg", "Re", "Re", "Re", "Re", "Pd", "Pd", "Pd", "Pd", "Pd", "Pd", "Pd", "Pd"], "fractional_positions": [[0.000, 0.000, 0.000], [0.000, 0.500, 0.250], [0.500, 0.000, 0.750], [0.500, 0.500, 0.500], [0.000, 0.000, 0.500], [0.000, 0.500, 0.750], [0.500, 0.000, 0.250], [0.500, 0.500, 0.000], [0.244, 0.250, 0.625], [0.250, 0.744, 0.875], [0.250, 0.756, 0.375], [0.256, 0.250, 0.125], [0.744, 0.750, 0.125], [0.750, 0.244, 0.375], [0.750, 0.256, 0.875], [0.756, 0.750, 0.625]], "final_energy_ev_per_atom": -5.587, "n_ef_per_ev_fu": 2.32, "magmom_total_mub_per_fu": 0.00, "formation_energy_ev_per_atom": 0.521}


Entry 20:
{"formula": "Mg2Re2Pd", "functional": "GGA-PBE", "state": "optimized geometry", "lattice": [[7.966, 0.000, 0.000], [0.000, 7.966, 0.000], [0.000, 0.000, 2.772]], "species": ["Mg", "Mg", "Mg", "Mg", "Re", "Re", "Re", "Re", "Pd", "Pd"], "fractional_positions": [[0.188, 0.312, 0.000], [0.312, 0.812, 0.000], [0.688, 0.188, 0.000], [0.812, 0.688, 0.000], [0.104, 0.604, 0.500], [0.396, 0.104, 0.500], [0.604, 0.896, 0.500], [0.896, 0.396, 0.500], [0.000, 0.000, 0.000], [0.500, 0.500, 0.000]], "final_energy_ev_per_atom": -6.091, "n_ef_per_ev_fu": 3.25, "magmom_total_mub_per_fu": 0.00, "formation_energy_ev_per_atom": 0.565}